P2PtAu: relaxed, PBE-GGA.

Summary:
Uncorrected energy, Ry/atom: -0.356
ΔE to the lowest computed polymorph, meV per atom: 384
Energy relative to the elements, meV/atom: 188

Lattice parameters (Å, degrees): 3.4626 3.4626 5.5816 90.00 90.00 90.00
With the nearest neighbours (Å) after each atom.
Space group P4/mmm (No. 123)
Symmetry-distinct sites (fractional):
P 0.0000 0.0000 0.1957 [2 per cell]  1 P 2.19
Pt 0.5000 0.5000 0.0000 [1 per cell]  8 P 2.68, 2 Au 2.79
Au 0.5000 0.5000 0.5000 [1 per cell]  2 Pt 2.79, 8 P 2.98